# PBE Ac2Tl3In3, optimized geometry
data_Ac2Tl3In3
_cell_length_a 4.967
_cell_length_b 4.978
_cell_length_c 9.924
_cell_angle_alpha 90.00
_cell_angle_beta 90.00
_cell_angle_gamma 90.00
_symmetry_space_group_name_H-M 'P m m m'
_symmetry_Int_Tables_number 47
_symmetry_space_group_name_Hall '-P 2 2'
loop_
_atom_site_label
_atom_site_type_symbol
_atom_site_fract_x
_atom_site_fract_y
_atom_site_fract_z
Ac1 Ac 0.000 0.000 0.249
Tl1 Tl 0.000 0.500 0.500
Tl2 Tl 0.500 0.000 0.000
Tl3 Tl 0.500 0.000 0.500
In1 In 0.000 0.500 0.000
In2 In 0.500 0.500 0.245
# * energy of formation: -0.353 eV per atom
# * V: 30.7 A^3/atom

# PBE Ac8TlIn2, optimized geometry
data_Ac8TlIn2
_cell_length_a 20.623
_cell_length_b 5.684
_cell_length_c 7.760
_cell_angle_alpha 90.00
_cell_angle_beta 103.60
_cell_angle_gamma 90.00
_symmetry_space_group_name_H-M 'C 1 2/m 1'
_symmetry_Int_Tables_number 12
_symmetry_space_group_name_Hall '-C 2y'
loop_
_atom_site_label
_atom_site_type_symbol
_atom_site_fract_x
_atom_site_fract_y
_atom_site_fract_z
Ac1 Ac 0.021 0.000 0.263
Ac2 Ac 0.093 0.500 0.963
Ac3 Ac 0.161 0.500 0.468
Ac4 Ac 0.205 0.000 0.809
Tl1 Tl 0.000 0.500 0.500
In1 In 0.186 0.000 0.234
# * energy above the lowest structure with this stoichiometry: 0 meV per atom
# * energy of formation: -0.181 eV per atom
# * V: 40.2 A^3/atom

# PBE Ac5Tl3In, optimized geometry
data_Ac5Tl3In
_cell_length_a 10.2292
_cell_length_b 10.2292
_cell_length_c 7.2793
_cell_angle_alpha 90.00
_cell_angle_beta 90.00
_cell_angle_gamma 120.00
_symmetry_space_group_name_H-M 'P 63/m c m'
_symmetry_Int_Tables_number 193
_symmetry_space_group_name_Hall '-P 6c 2'
loop_
_atom_site_label
_atom_site_type_symbol
_atom_site_fract_x
_atom_site_fract_y
_atom_site_fract_z
Ac1 Ac 0.0000 0.2869 0.2500
Ac2 Ac 0.3333 0.6667 0.0000
Tl1 Tl 0.0000 0.3714 0.7500
In1 In 0.0000 0.0000 0.0000
# * energy of formation: -0.312 eV per atom
# * V: 36.6 A^3/atom

# PBE Ac7Tl3In, optimized geometry
data_Ac7Tl3In
_cell_length_a 6.406
_cell_length_b 10.573
_cell_length_c 12.587
_cell_angle_alpha 90.00
_cell_angle_beta 90.00
_cell_angle_gamma 90.00
_symmetry_space_group_name_H-M 'I m m m'
_symmetry_Int_Tables_number 71
_symmetry_space_group_name_Hall '-I 2 2'
loop_
_atom_site_label
_atom_site_type_symbol
_atom_site_fract_x
_atom_site_fract_y
_atom_site_fract_z
Ac1 Ac 0.000 0.000 0.000
Ac2 Ac 0.000 0.177 0.500
Ac3 Ac 0.000 0.330 0.229
Tl1 Tl 0.000 0.000 0.267
Tl2 Tl 0.000 0.500 0.000
In1 In 0.000 0.500 0.500
# * energy of formation: -0.160 eV per atom
# * V: 38.8 A^3/atom